Density functional theory data (PBE-GGA) for an optimized crystal structure of LiIrCl.

Structure (extended XYZ):
```
3
Lattice="4.156 0.000 0.000 -2.078 3.600 0.000 0.000 0.000 3.039" Properties=species:S:1:pos:R:3 pbc="T T T"
Cl 0.000 0.000 0.507
Ir 0.000 2.400 0.506
Li 2.078 1.200 2.026
```

Properties
- DOS(E_F) (states/eV per cell) = 2.76
- calculated density (g/cm3) = 8.6
- relative energy among the computed polymorphs (meV/atom) = 188
- raw formation energy (meV per atom) = 191